# Er2TmCd

Crystalline Er2TmCd at its relaxed geometry (GGA-PBE, Alexandria via LeMat-Bulk).

Cell: 10.961 10.961 10.961 Å, 18.41 18.41 18.41°
Atoms (fractional coordinates):
Er: 0.000 0.000 0.000
Er: 0.158 0.158 0.158
Tm: 0.579 0.579 0.579
Cd: 0.413 0.413 0.413

---

# RbZrTl

Crystalline RbZrTl at its relaxed geometry (GGA-PBE, Alexandria via LeMat-Bulk).

Cell: 6.116 6.116 11.331 Å, 90.00 90.00 120.00°
Atoms (fractional coordinates):
Rb: 0.333 0.667 0.250
Rb: 0.667 0.333 0.750
Zr: 0.000 0.000 0.000
Zr: 0.000 0.000 0.500
Tl: 0.000 0.000 0.250
Tl: 0.000 0.000 0.750

---

| no. | total energy (eV per cell) | E_form (eV/atom) | ΔE to the lowest computed polymorph (meV per atom) |
| --- | --- | --- | --- |
| 1 | -14.64 | -0.032 | 109 |
| 2 | -15.76 | 1.335 | 1269 |